Computed, not measured: ZrAgMo2 after structural relaxation at the PBEsol level of DFT.

```
4
Lattice="2.730 -0.010 0.000 -0.709 2.636 0.000 0.000 0.000 9.326" Properties=species:S:1:pos:R:3 pbc="T T T"
Ag 1.010 1.313 0.000
Mo 0.000 0.000 2.281
Mo 0.000 0.000 7.044
Zr 1.010 1.313 4.663
```

Values from the calculation:
calculated total energy	-8.66	eV/atom
energy relative to the elements	124	kJ/mol of formula units